TlCr2OsO8 | GGA+U | optimized geometry

Calculated values
V: 11.7 Å³/atom
E: -6.9042 eV per atom

abc: 4.6422 4.6426 6.5053
angles: 90.00 90.00 91.13
Closest atoms and distances in Å follow each position.
Positions (direct):
O (0.2965, 0.2966, 0.0000)  1 Os 1.93, 2 Cr 2.07
O (0.7991, 0.2008, 0.7920)  1 Os 1.90, 1 Cr 2.00
O (0.2009, 0.7992, 0.7920)  1 Os 1.90, 1 Cr 2.00
O (0.3227, 0.3226, 0.5000)  2 Cr 2.02, 1 Tl 2.10
O (0.7991, 0.2008, 0.2080)  1 Os 1.90, 1 Cr 2.00
O (0.2009, 0.7992, 0.2080)  1 Os 1.90, 1 Cr 2.00
O (0.7035, 0.7034, 0.0000)  1 Os 1.93, 2 Cr 2.07
O (0.6773, 0.6774, 0.5000)  2 Cr 2.02, 1 Tl 2.10
Tl (0.0000, 0.0000, 0.5000)  6 O 2.10-2.32
Cr (0.5000, 0.5000, 0.7550)  6 O 2.00-2.07
Cr (0.5000, 0.5000, 0.2450)  6 O 2.00-2.07
Os (0.0000, 0.0000, 0.0000)  6 O 1.90-1.93